Record 1
## Re11W2 (GGA-PBE)

Data for Re11W2 after structural relaxation.

Unit cell a=9.4843 b=9.4843 c=9.4843 alpha=31.04 beta=31.04 gamma=31.04
Fractional coordinates of all 13 atoms:
W 0.3490 0.3490 0.3490
Re 0.5824 0.0898 0.0897
Re 0.5460 0.5460 0.5460
Re 0.4176 0.9102 0.9103
W 0.6510 0.6510 0.6510
Re 0.4540 0.4540 0.4540
Re 0.9102 0.4176 0.9103
Re 0.0000 0.0000 0.0000
Re 0.0898 0.0898 0.5824
Re 0.9102 0.9102 0.4176
Re 0.8350 0.8350 0.8350
Re 0.0898 0.5824 0.0897
Re 0.1650 0.1650 0.1650

Output
Calculated formation energy (eV per atom): 0.16
Calculated total energy (eV per atom): -12.346
Symmetry: No. 166

---

Record 2
## LiGa2FePt4 (GGA-PBE)

Data for LiGa2FePt4 after structural relaxation.

Unit cell a=4.4997 b=4.4997 c=5.6864 alpha=90.00 beta=90.00 gamma=90.00
Fractional coordinates of all 8 atoms:
Pt 0.5000 0.0000 0.2474
Pt 0.5000 0.0000 0.7526
Ga 0.5000 0.5000 0.0000
Fe 0.0000 0.0000 0.0000
Ga 0.0000 0.0000 0.5000
Pt 0.0000 0.5000 0.2474
Pt 0.0000 0.5000 0.7526
Li 0.5000 0.5000 0.5000

Output
Calculated total energy (eV per atom): -5.621
Symmetry: No. 123

---

Record 3
## LiZrNb2 (GGA-PBE)

Data for LiZrNb2 after structural relaxation.

Unit cell a=4.6863 b=4.6863 c=4.6863 alpha=60.00 beta=60.00 gamma=60.00
Fractional coordinates of all 4 atoms:
Li 0.5000 0.5000 0.5000
Nb 0.7500 0.7500 0.7500
Zr 0.2500 0.2500 0.2500
Nb 0.0000 0.0000 0.0000

Output
Calculated total energy (eV per atom): -7.437
Symmetry: No. 216

---

Record 4
## GaCoPb (GGA-PBE)

Data for GaCoPb after structural relaxation.

Unit cell a=4.3243 b=4.3243 c=4.3243 alpha=60.00 beta=60.00 gamma=60.00
Fractional coordinates of all 3 atoms:
Pb 0.7500 0.7500 0.7500
Ga 0.2500 0.2500 0.2500
Co 0.0000 0.0000 0.0000

Output
Calculated total energy (eV per atom): -4.445
Symmetry: No. 216

---

Record 5
## BeZnFeNi (GGA-PBE)

Data for BeZnFeNi after structural relaxation.

Unit cell a=3.9627 b=3.9627 c=3.9627 alpha=60.00 beta=60.00 gamma=60.00
Fractional coordinates of all 4 atoms:
Fe 0.5000 0.5000 0.5000
Zn 0.0000 0.0000 0.0000
Ni 0.2500 0.2500 0.2500
Be 0.7500 0.7500 0.7500

Output
Calculated total energy (eV per atom): -4.757
Symmetry: No. 216

---

Record 6
## NaYCoSe3 (GGA-PBE)

Data for NaYCoSe3 after structural relaxation.

Unit cell a=8.7109 b=8.7109 c=8.2069 alpha=103.24 beta=103.24 gamma=27.25
Fractional coordinates of all 12 atoms:
Se 0.6574 0.6574 0.3484
Se 0.0000 0.0000 0.5000
Se 0.5000 0.5000 0.0000
Se 0.3426 0.3426 0.6516
Se 0.3413 0.3413 0.1724
Se 0.6587 0.6587 0.8276
Co 0.5037 0.5037 0.7166
Y 0.8309 0.8309 0.4004
Co 0.4963 0.4963 0.2834
Y 0.1691 0.1691 0.5996
Na 0.8638 0.8638 0.9272
Na 0.1362 0.1362 0.0728

Output
Calculated total energy (eV per atom): -5.176
Symmetry: No. 12

---

Record 7
## CsNiOs (GGA-PBE)

Data for CsNiOs after structural relaxation.

Unit cell a=4.7046 b=4.7046 c=4.7046 alpha=60.00 beta=60.00 gamma=60.00
Fractional coordinates of all 3 atoms:
Os 0.7500 0.7500 0.7500
Ni 0.0000 0.0000 0.0000
Cs 0.2500 0.2500 0.2500

Output
Calculated total energy (eV per atom): -3.709
Symmetry: No. 216

---

Record 8
## LiSm2OsO6 (GGA-PBE)

Data for LiSm2OsO6 after structural relaxation.

Unit cell a=5.3548 b=5.7505 c=7.6498 alpha=90.00 beta=90.70 gamma=90.00
Fractional coordinates of all 20 atoms:
Sm 0.5190 0.9259 0.7486
O 0.8021 0.6862 0.9498
Sm 0.0190 0.5741 0.2486
O 0.3204 0.7929 0.0552
O 0.8204 0.7071 0.5552
O 0.6979 0.1862 0.5502
O 0.3951 0.5338 0.7532
O 0.6049 0.4662 0.2468
Sm 0.9810 0.4259 0.7514
O 0.1796 0.2929 0.4448
Os 0.5000 0.5000 0.0000
Sm 0.4810 0.0741 0.2514
Os 0.0000 0.0000 0.5000
O 0.6796 0.2071 0.9448
O 0.1049 0.0338 0.7468
Li 0.5000 0.5000 0.5000
Li 0.0000 0.0000 0.0000
O 0.1979 0.3138 0.0502
O 0.3021 0.8138 0.4498
O 0.8951 0.9662 0.2532

Output
Calculated total energy (eV per atom): -7.650
Symmetry: No. 14

---

Record 9
## CsPrDy (GGA-PBE)

Data for CsPrDy after structural relaxation.

Unit cell a=5.5924 b=5.5924 c=5.5924 alpha=60.00 beta=60.00 gamma=60.00
Fractional coordinates of all 3 atoms:
Pr 0.2500 0.2500 0.2500
Dy 0.7500 0.7500 0.7500
Cs 0.0000 0.0000 0.0000

Output
Calculated total energy (eV per atom): -2.220
Symmetry: No. 216

---

Record 10
## Mg2ZnPd (GGA-PBE)

Data for Mg2ZnPd after structural relaxation.

Unit cell a=3.2183 b=3.2183 c=6.5191 alpha=90.00 beta=90.00 gamma=90.00
Fractional coordinates of all 4 atoms:
Mg 0.5000 0.5000 0.7636
Zn 0.0000 0.0000 0.5000
Mg 0.5000 0.5000 0.2364
Pd 0.0000 0.0000 0.0000

Output
Calculated total energy (eV per atom): -2.828
Symmetry: No. 123

---

Record 11
## TcAsPt2 (GGA-PBE)

Data for TcAsPt2 after structural relaxation.

Unit cell a=4.4365 b=4.4365 c=4.4365 alpha=60.00 beta=60.00 gamma=60.00
Fractional coordinates of all 4 atoms:
Pt 0.0000 0.0000 0.0000
As 0.5000 0.5000 0.5000
Tc 0.2500 0.2500 0.2500
Pt 0.7500 0.7500 0.7500

Output
Calculated total energy (eV per atom): -6.681
Symmetry: No. 216

---

Record 12
## LuBe4 (GGA-PBE)

Data for LuBe4 after structural relaxation.

Unit cell a=4.7110 b=4.7110 c=6.1334 alpha=90.00 beta=90.00 gamma=90.00
Fractional coordinates of all 10 atoms:
Be 0.5000 0.5000 0.6591
Lu 0.5000 0.0000 0.7043
Be 0.5000 0.5000 0.3409
Be 0.0000 0.0000 0.6591
Be 0.0000 0.0000 0.3409
Lu 0.0000 0.5000 0.2957
Be 0.0000 0.0000 0.0000
Be 0.5000 0.5000 0.0000
Be 0.5000 0.0000 0.2054
Be 0.0000 0.5000 0.7946

Output
Calculated total energy (eV per atom): -3.236
Symmetry: No. 129

---

Record 13
## NaYFeSe3 (GGA-PBE)

Data for NaYFeSe3 after structural relaxation.

Unit cell a=8.1044 b=3.9839 c=9.7505 alpha=90.00 beta=104.42 gamma=90.00
Fractional coordinates of all 12 atoms:
Se 0.0611 0.2500 0.8317
Fe 0.0687 0.2500 0.5851
Se 0.5667 0.2500 0.8454
Y 0.6812 0.2500 0.1451
Se 0.9389 0.7500 0.1683
Se 0.2370 0.7500 0.5398
Se 0.7630 0.2500 0.4602
Y 0.3188 0.7500 0.8549
Na 0.2347 0.2500 0.2726
Se 0.4333 0.7500 0.1546
Na 0.7653 0.7500 0.7274
Fe 0.9313 0.7500 0.4149

Output
Calculated total energy (eV per atom): -5.574
Symmetry: No. 11

---

Record 14
## SiAsIrO (GGA-PBE)

Data for SiAsIrO after structural relaxation.

Unit cell a=2.7471 b=8.0545 c=5.5790 alpha=90.00 beta=90.00 gamma=90.00
Fractional coordinates of all 8 atoms:
Ir 0.5000 0.1083 0.7773
Si 0.0000 0.3075 0.0185
As 0.0000 0.8545 0.9024
Si 0.0000 0.6925 0.5185
O 0.5000 0.4310 0.0557
Ir 0.5000 0.8917 0.2773
O 0.5000 0.5690 0.5557
As 0.0000 0.1455 0.4024

Output
Calculated total energy (eV per atom): -6.799
Symmetry: No. 26

---

Record 15
## MgAlFeAu (GGA-PBE)

Data for MgAlFeAu after structural relaxation.

Unit cell a=4.4192 b=4.4192 c=4.4192 alpha=60.00 beta=60.00 gamma=60.00
Fractional coordinates of all 4 atoms:
Au 0.2500 0.2500 0.2500
Fe 0.7500 0.7500 0.7500
Mg 0.5000 0.5000 0.5000
Al 0.0000 0.0000 0.0000

Output
Calculated total energy (eV per atom): -4.403
Symmetry: No. 216

---

Record 16
## Li4CuGePt2 (GGA-PBE)

Data for Li4CuGePt2 after structural relaxation.

Unit cell a=4.3006 b=4.3006 c=5.8692 alpha=90.00 beta=90.00 gamma=90.00
Fractional coordinates of all 8 atoms:
Li 0.5000 0.5000 0.5000
Li 0.5000 0.0000 0.7404
Cu 0.0000 0.0000 0.5000
Ge 0.5000 0.5000 0.0000
Pt 0.5000 0.0000 0.2354
Pt 0.0000 0.5000 0.7646
Li 0.0000 0.5000 0.2596
Li 0.0000 0.0000 0.0000

Output
Calculated total energy (eV per atom): -4.024
Symmetry: No. 115

---

Record 17
## RbCuPtW (GGA-PBE)

Data for RbCuPtW after structural relaxation.

Unit cell a=4.6468 b=4.6468 c=4.6468 alpha=60.00 beta=60.00 gamma=60.00
Fractional coordinates of all 4 atoms:
Pt 0.0000 0.0000 0.0000
W 0.2500 0.2500 0.2500
Cu 0.7500 0.7500 0.7500
Rb 0.5000 0.5000 0.5000

Output
Calculated total energy (eV per atom): -4.627
Symmetry: No. 216

---

Record 18
## ThSiGe (GGA-PBE)

Data for ThSiGe after structural relaxation.

Unit cell a=4.7124 b=4.7124 c=4.7124 alpha=60.00 beta=60.00 gamma=60.00
Fractional coordinates of all 3 atoms:
Th 0.7500 0.7500 0.7500
Ge 0.2500 0.2500 0.2500
Si 0.0000 0.0000 0.0000

Output
Calculated total energy (eV per atom): -5.893
Symmetry: No. 216

---

Record 19
## RbAlCoTe3 (GGA-PBE)

Data for RbAlCoTe3 after structural relaxation.

Unit cell a=16.0578 b=4.1008 c=11.6581 alpha=90.00 beta=90.00 gamma=90.00
Fractional coordinates of all 24 atoms:
Te 0.5564 0.2500 0.6352
Te 0.6053 0.2500 0.2504
Co 0.5166 0.2500 0.4287
Te 0.4031 0.2500 0.0676
Te 0.0969 0.7500 0.5675
Te 0.4436 0.7500 0.3648
Al 0.9855 0.2500 0.6353
Te 0.0564 0.2500 0.8648
Te 0.9031 0.2500 0.4325
Co 0.0166 0.2500 0.0713
Al 0.5145 0.7500 0.1353
Te 0.1053 0.2500 0.2496
Rb 0.2177 0.7500 0.0258
Te 0.3947 0.7500 0.7496
Rb 0.2823 0.2500 0.5258
Te 0.9436 0.7500 0.1352
Te 0.8947 0.7500 0.7504
Co 0.4834 0.7500 0.5713
Al 0.4855 0.2500 0.8647
Rb 0.7177 0.7500 0.4742
Co 0.9834 0.7500 0.9287
Rb 0.7823 0.2500 0.9742
Te 0.5969 0.7500 0.9324
Al 0.0145 0.7500 0.3647

Output
Calculated total energy (eV per atom): -3.956
Symmetry: No. 62

---

Record 20
## Pm3Ga4Si2 (GGA-PBE)

Data for Pm3Ga4Si2 after structural relaxation.

Unit cell a=5.9368 b=5.9368 c=8.3811 alpha=99.73 beta=99.73 gamma=41.25
Fractional coordinates of all 9 atoms:
Ga 0.2736 0.2736 0.4396
Pm 0.3323 0.3323 0.8357
Ga 0.9451 0.9451 0.1131
Ga 0.0549 0.0549 0.8869
Pm 0.6677 0.6677 0.1643
Si 0.6096 0.6096 0.7752
Si 0.3904 0.3904 0.2248
Pm 0.0000 0.0000 0.5000
Ga 0.7264 0.7264 0.5604

Output
Calculated total energy (eV per atom): -4.841
Symmetry: No. 12

---

Record 21
## TbTlAg3O4 (GGA-PBE)

Data for TbTlAg3O4 after structural relaxation.

Unit cell a=5.5373 b=5.5373 c=5.5373 alpha=90.00 beta=90.00 gamma=90.00
Fractional coordinates of all 9 atoms:
Ag 0.0000 0.0000 0.5000
Ag 0.0000 0.5000 0.0000
Tb 0.0000 0.0000 0.0000
O 0.2312 0.7688 0.2312
Ag 0.5000 0.0000 0.0000
Tl 0.5000 0.5000 0.5000
O 0.7688 0.7688 0.7688
O 0.2312 0.2312 0.7688
O 0.7688 0.2312 0.2312

Output
Calculated total energy (eV per atom): -4.602
Symmetry: No. 215

---

Record 22
## SmAsPb (GGA-PBE)

Data for SmAsPb after structural relaxation.

Unit cell a=5.0906 b=5.0906 c=5.0906 alpha=60.00 beta=60.00 gamma=60.00
Fractional coordinates of all 3 atoms:
Pb 0.0000 0.0000 0.0000
As 0.2500 0.2500 0.2500
Sm 0.7500 0.7500 0.7500

Output
Calculated total energy (eV per atom): -4.395
Symmetry: No. 216

---

Record 23
## TlFeTcPd (GGA-PBE)

Data for TlFeTcPd after structural relaxation.

Unit cell a=4.5069 b=4.5069 c=4.5069 alpha=60.00 beta=60.00 gamma=60.00
Fractional coordinates of all 4 atoms:
Pd 0.2500 0.2500 0.2500
Tc 0.5000 0.5000 0.5000
Fe 0.7500 0.7500 0.7500
Tl 0.0000 0.0000 0.0000

Output
Calculated total energy (eV per atom): -6.085
Symmetry: No. 216

---

Record 24
## NbB4Mo (GGA-PBE)

Data for NbB4Mo after structural relaxation.

Unit cell a=4.5218 b=4.5218 c=4.5218 alpha=140.15 beta=107.67 gamma=85.91
Fractional coordinates of all 6 atoms:
B 0.0832 0.7506 0.3326
B 0.5820 0.2494 0.3326
Mo 0.0000 0.0000 0.0000
B 0.9168 0.2494 0.6674
Nb 0.5000 0.5000 0.0000
B 0.4180 0.7506 0.6674

Output
Calculated total energy (eV per atom): -8.427
Symmetry: No. 71

---

It is found that the calculated volume values, taken in the order of the records, are 201.2; 115.1; 72.8; 57.2; 44.0; 277.2; 73.6; 235.5; 123.7; 67.5; 61.7; 136.1; 304.9; 123.4; 61.0; 108.6; 70.9; 74.0; 767.7; 191.6; 169.8; 93.3; 64.7; 54.4 Å³/cell.